(1)
DyErTm2Sc2 after structural relaxation. Source: Alexandria via LeMat-Bulk, functional GGA-PBE.

```
DyErTm2Sc2
1.0
-2.473 -2.693 -3.986
0.019 -7.747 5.223
-6.012 1.718 2.570
Tm Sc Er Dy
4 4 2 2
direct
0.500 0.834 0.249
0.500 0.166 0.751
0.000 0.334 0.251
0.000 0.666 0.749
0.000 0.667 0.250
0.500 0.833 0.750
0.500 0.167 0.250
0.000 0.333 0.750
0.000 0.000 0.000
0.500 0.500 0.500
0.500 0.500 0.000
0.000 0.000 0.500
```

Summary:
space group = Pnnm (58)
E = -60.65 eV/cell


(2)
Dy2ErTm6Sc after structural relaxation. Source: Alexandria via LeMat-Bulk, functional GGA-PBE.

```
Dy2ErTm6Sc
1.0
8.888 -1.999 -2.074
0.779 8.310 -1.930
0.779 -2.237 8.233
Tm Sc Dy Er
12 2 4 2
direct
0.443 0.249 0.872
0.311 0.989 0.432
0.383 0.504 0.292
0.557 0.751 0.128
0.811 0.432 0.989
0.117 0.708 0.496
0.943 0.872 0.249
0.189 0.568 0.011
0.617 0.496 0.708
0.883 0.292 0.504
0.689 0.011 0.568
0.057 0.128 0.751
0.750 0.589 0.411
0.250 0.411 0.589
0.047 0.303 0.199
0.453 0.801 0.697
0.953 0.697 0.801
0.547 0.199 0.303
0.750 0.021 0.979
0.250 0.979 0.021
```

Summary:
space group = C2/c (15)
E = -91.32 eV/cell